A plane-wave DFT calculation with meta-GGA SCAN was carried out for Na7Ti13O26 at its PBEsol-relaxed geometry.

Computed properties:
* ΔE_f (raw): -2.9538 eV per atom
* final energy: -11.6474 eV per atom
* SG: P-1, No. 2

Lattice parameters (Å, degrees): 5.067 10.588 11.331 64.76 86.25 81.11
Fractional positions:
Na 0.416 0.808 0.846
Na 0.674 0.887 0.308
Na 0.326 0.113 0.692
Na 0.584 0.192 0.154
Na 0.267 0.421 0.539
Na 0.733 0.579 0.461
Na 0.500 0.500 0.000
Ti 0.813 0.763 0.626
Ti 0.576 0.688 0.158
Ti 0.039 0.841 0.079
Ti 0.269 0.920 0.527
Ti 0.731 0.080 0.473
Ti 0.500 0.000 0.000
Ti 0.961 0.159 0.921
Ti 0.424 0.312 0.842
Ti 0.187 0.237 0.374
Ti 0.658 0.387 0.309
Ti 0.885 0.462 0.772
Ti 0.115 0.538 0.228
Ti 0.342 0.613 0.691
O 0.132 0.786 0.698
O 0.268 0.680 0.061
O 0.504 0.755 0.524
O 0.888 0.709 0.245
O 0.191 0.985 0.912
O 0.945 0.910 0.456
O 0.571 0.938 0.627
O 0.355 0.861 0.162
O 0.720 0.832 0.993
O 0.055 0.090 0.544
O 0.809 0.015 0.088
O 0.645 0.139 0.838
O 0.429 0.062 0.373
O 0.868 0.214 0.302
O 0.280 0.168 0.007
O 0.112 0.291 0.755
O 0.496 0.245 0.476
O 0.207 0.475 0.857
O 0.569 0.448 0.675
O 0.349 0.368 0.215
O 0.732 0.320 0.939
O 0.973 0.401 0.399
O 0.027 0.599 0.601
O 0.651 0.632 0.785
O 0.431 0.552 0.325
O 0.793 0.525 0.143